Version w
Material: La5Nd2Cd
Method: DFT, PBE-GGA
State: relaxed

Cell and atoms, written as POSCAR:
```
La5Nd2Cd
1.0
2.0236 4.5303 -5.0836
0.9236 -6.6520 -2.3148
-6.8490 1.0595 1.5582
La Nd Cd
5 2 1
Cartesian
0.8172 -0.5861 -2.0514 La
-1.1295 -1.1217 -4.9752 La
1.2813 -3.9120 -3.2147 La
-2.6078 -0.0608 -1.2779 La
-5.0182 2.7337 -3.0394 La
-1.5941 2.2034 -3.8179 Nd
-2.1440 -3.3876 -2.4331 Nd
-4.5549 -0.5907 -4.2007 Cd
```

Values from the calculation:
The value obtained for the volume is 276 Å³ per cell.

---

Version x
Material: La5Nd2Cd
Method: DFT, PBE-GGA
State: relaxed

Cell and atoms, written as POSCAR:
```
La5Nd2Cd
1.0
7.2849 -0.0030 0.0004
-0.0028 7.2853 0.0016
-3.6404 -3.6408 5.1167
Nd La Cd
2 5 1
Cartesian
-0.0020 3.6477 2.2740 Nd
3.6443 -0.0045 2.2735 Nd
1.8265 -1.8251 4.8340 La
-1.8245 1.8262 4.8312 La
-1.8207 -1.8206 4.8366 La
1.8205 1.8205 4.8286 La
3.6417 3.6412 2.2733 La
-0.0004 -0.0009 2.2744 Cd
```

Values from the calculation:
The value obtained for the volume is 272 Å³ per cell.

---

Which structure is most stable, and how do the rest compare? From most to least stable: version x, version w.

---

Version w
Material: La6Nd2Cd
Method: DFT, PBE-GGA
State: relaxed

Cell and atoms, written as POSCAR:
```
La6Nd2Cd
1.0
5.5080 0.0000 0.2566
0.0000 10.7237 0.0000
-0.4979 0.0000 10.7122
Nd La Cd
4 12 2
Cartesian
5.4034 7.6020 2.4932 Nd
2.6097 2.2401 3.2477 Nd
-0.3933 3.1218 8.4756 Nd
2.4004 8.4836 7.7210 Nd
2.4152 4.9973 7.4251 La
2.5949 5.7264 3.5437 La
-0.0655 3.9493 1.4119 La
5.0756 6.7745 9.5569 La
5.1000 10.3592 9.0281 La
-0.0899 0.3646 1.9407 La
2.4395 1.4126 6.8963 La
2.2736 1.9428 10.4775 La
5.2416 7.3047 5.9757 La
2.7365 8.7810 0.4913 La
-0.2315 3.4191 4.9931 La
2.5706 9.3111 4.0725 La
2.7540 5.3619 0.1283 Cd
-0.2490 0.0000 5.3561 Cd
```

Values from the calculation:
The value obtained for the volume is 634 Å³ per cell.

---

Version x
Material: La6Nd2Cd
Method: DFT, PBE-GGA
State: relaxed

Cell and atoms, written as POSCAR:
```
La6Nd2Cd
1.0
-1.0862 -2.2866 -2.7398
-0.2562 -7.5765 6.4246
-8.0994 5.5709 -1.4381
La Cd Nd
6 1 2
Cartesian
-0.7051 -5.9344 2.6928 La
-5.9908 -1.4379 3.5751 La
-2.5485 -5.9997 6.0175 La
-5.9205 -5.1969 4.1450 La
-3.6156 -1.8803 0.4632 La
-0.0725 -2.1452 1.8191 La
-0.5431 -1.1439 -1.3694 Cd
-2.8711 -3.1935 3.8035 Nd
-5.4845 1.1887 1.1823 Nd
```

Values from the calculation:
The value obtained for the volume is 319 Å³ per cell.

---

Which structure is most stable, and how do the rest compare? From most to least stable: version x, version w.

---

Version w
Material: La3Nd2Cd
Method: DFT, PBE-GGA
State: relaxed

Cell and atoms, written as POSCAR:
```
La3Nd2Cd
1.0
3.7683 0.0000 0.0000
0.0000 3.7683 0.0000
0.0000 0.0000 14.5607
La Cd Nd
3 1 2
Cartesian
0.0000 0.0000 5.1647 La
0.0000 0.0000 0.0000 La
0.0000 0.0000 9.3960 La
1.8841 1.8841 7.2804 Cd
1.8841 1.8841 11.9860 Nd
1.8841 1.8841 2.5747 Nd
```

Values from the calculation:
The value obtained for the volume is 207 Å³ per cell.

---

Version x
Material: La3Nd2Cd
Method: DFT, PBE-GGA
State: relaxed

Cell and atoms, written as POSCAR:
```
La3Nd2Cd
1.0
-7.5292 5.6370 6.9442
3.4929 -1.4546 4.9679
1.1295 5.3102 -3.0859
La Nd Cd
6 4 2
Cartesian
-4.1737 5.0588 10.4539 La
-1.2247 4.5758 4.2028 La
-5.8050 9.7282 4.8946 La
-2.0403 6.9099 1.4226 La
-4.9902 7.3936 7.6746 La
-0.4089 2.2404 6.9818 La
-4.3214 6.4731 4.2248 Nd
1.0595 5.0028 1.4108 Nd
1.8720 2.6771 4.1796 Nd
-3.5089 4.1474 6.9936 Nd
-0.8506 1.9084 1.8525 Cd
-1.5995 7.2423 6.5525 Cd
```

Values from the calculation:
The value obtained for the volume is 397 Å³ per cell.

---

Which structure is most stable, and how do the rest compare? From most to least stable: version w, version x.

---

Version w
Material: LaNdScCd
Method: DFT, PBE-GGA
State: relaxed

Cell and atoms, written as POSCAR:
```
LaNdScCd
1.0
3.5854 0.0000 0.3160
0.0000 3.5993 0.0000
-0.7969 0.0000 9.0382
La Nd Sc Cd
1 1 1 1
Cartesian
2.9769 1.7997 4.2283 La
1.4245 0.0000 1.3372 Nd
2.6240 1.7997 8.2236 Sc
0.9786 0.0000 6.4014 Cd
```

Values from the calculation:
The value obtained for the volume is 118 Å³ per cell.

---

Version x
Material: LaNdScCd
Method: DFT, PBE-GGA
State: relaxed

Cell and atoms, written as POSCAR:
```
LaNdScCd
1.0
5.5134 0.0000 0.0000
2.7567 4.7748 0.0000
2.7567 1.5916 4.5017
Sc La Cd Nd
1 1 1 1
Cartesian
8.2702 4.7748 3.3763 Sc
0.0000 0.0000 0.0000 La
2.7567 1.5916 1.1254 Cd
5.5134 3.1832 2.2509 Nd
```

Values from the calculation:
The value obtained for the volume is 119 Å³ per cell.

---

Which structure is most stable, and how do the rest compare? From most to least stable: version w, version x.

---

Version w
Material: LaNdSmCd
Method: DFT, PBE-GGA
State: relaxed

Cell and atoms, written as POSCAR:
```
LaNdSmCd
1.0
-1.5252 -2.6076 2.2319
1.8732 -2.6790 -1.8497
7.0049 0.8817 5.8170
Cd Sm La Nd
1 1 1 1
Cartesian
3.9295 0.4946 3.2631 Cd
2.6179 -2.3357 2.2205 Sm
5.7533 -1.9410 4.8242 La
0.5491 0.0691 0.4559 Nd
```

Values from the calculation:
The value obtained for the volume is 129 Å³ per cell.

---

Version x
Material: LaNdSmCd
Method: DFT, PBE-GGA
State: relaxed

Cell and atoms, written as POSCAR:
```
LaNdSmCd
1.0
-1.2010 -5.2669 -1.6028
-1.3046 -3.8916 3.8606
-5.2810 -1.9272 0.3849
Nd Cd Sm La
1 1 1 1
Cartesian
-5.8399 -8.3143 1.9821 Nd
0.0000 0.0000 0.0000 Cd
-3.8933 -5.5428 1.3214 Sm
-1.9466 -2.7714 0.6607 La
```

Values from the calculation:
The value obtained for the volume is 127 Å³ per cell.

---

Which structure is most stable, and how do the rest compare? From most to least stable: version w, version x.

---

Version w
Material: LaTbNdCd
Method: DFT, PBE-GGA
State: relaxed

Cell and atoms, written as POSCAR:
```
LaTbNdCd
1.0
3.7375 0.0000 0.0000
0.0000 3.7375 0.0000
0.0000 0.0000 8.9841
Tb La Cd Nd
1 1 1 1
Cartesian
1.8688 1.8688 3.1792 Tb
0.0000 0.0000 0.6960 La
0.0000 0.0000 5.0479 Cd
1.8688 1.8688 7.1109 Nd
```

Values from the calculation:
The value obtained for the volume is 126 Å³ per cell.

---

Version x
Material: LaTbNdCd
Method: DFT, PBE-GGA
State: relaxed

Cell and atoms, written as POSCAR:
```
LaTbNdCd
1.0
-5.0912 1.5072 1.8223
-4.0974 -3.8204 0.3587
-1.8028 -1.7183 5.0309
Tb Cd La Nd
1 1 1 1
Cartesian
-2.7478 -1.0079 1.8030 Tb
-8.2435 -3.0236 5.4089 Cd
0.0000 0.0000 0.0000 La
-5.4957 -2.0157 3.6060 Nd
```

Values from the calculation:
The value obtained for the volume is 125 Å³ per cell.

---

Which structure is most stable, and how do the rest compare? From most to least stable: version w, version x.

---

Version w
Material: La3CdNi
Method: DFT, PBE-GGA
State: relaxed

Cell and atoms, written as POSCAR:
```
La3CdNi
1.0
-0.8444 3.1720 4.3596
-2.2295 -6.1811 0.6245
9.5778 0.4717 1.5489
La Ni Cd
6 2 2
Cartesian
0.9635 -1.4754 4.6745 La
7.8714 0.8708 4.3199 La
4.5520 -1.5087 5.3972 La
-1.3675 -3.4082 2.2131 La
1.9519 -1.0287 1.1358 La
5.5404 -1.0620 1.8585 La
-2.2215 -2.0662 4.4908 Ni
8.7254 -0.4712 2.0422 Ni
3.2382 -3.5330 3.1979 Cd
3.2657 0.9956 3.3351 Cd
```

Values from the calculation:
The value obtained for the volume is 292 Å³ per cell.

---

Version x
Material: La3CdNi
Method: DFT, PBE-GGA
State: relaxed

Cell and atoms, written as POSCAR:
```
La3CdNi
1.0
5.4584 0.0000 0.0000
0.0000 5.4584 0.0000
0.0000 0.0000 5.4584
Cd La Ni
1 3 1
Cartesian
2.7292 2.7292 2.7292 Cd
0.0000 0.0000 2.7292 La
2.7292 0.0000 0.0000 La
0.0000 2.7292 0.0000 La
0.0000 0.0000 0.0000 Ni
```

Values from the calculation:
The value obtained for the volume is 163 Å³ per cell.

---

Which structure is most stable, and how do the rest compare? From most to least stable: version w, version x.

---

Version w
Material: LaCd2Ni2
Method: DFT, PBE-GGA
State: relaxed

Cell and atoms, written as POSCAR:
```
LaCd2Ni2
1.0
4.1393 0.0000 0.0000
0.0000 4.1393 0.0000
2.0696 2.0696 5.9180
Cd Ni La
2 2 1
Cartesian
2.0696 4.1393 2.9590 Cd
4.1393 2.0696 2.9590 Cd
2.0696 2.0696 1.1539 Ni
4.1393 4.1393 4.7641 Ni
0.0000 0.0000 0.0000 La
```

Values from the calculation:
The value obtained for the volume is 101 Å³ per cell.

---

Version x
Material: LaCd2Ni2
Method: DFT, PBE-GGA
State: relaxed

Cell and atoms, written as POSCAR:
```
LaCd2Ni2
1.0
-5.4165 -0.5642 -5.1442
4.8658 -3.0906 -4.7844
-0.8141 -3.1420 1.2017
Cd La Ni
4 2 4
Cartesian
1.9451 -3.6525 -3.2480 Cd
0.2420 -4.5730 -6.8085 Cd
-1.6067 -2.2237 -1.9185 Cd
-3.3098 -3.1443 -5.4789 Cd
-0.2753 -1.8274 -4.9643 La
0.0000 0.0000 0.0000 La
-2.7859 -0.7975 -3.9724 Ni
-1.5334 -2.4658 -7.4857 Ni
0.9827 -1.1890 -2.4430 Ni
2.2353 -2.8572 -5.9562 Ni
```

Values from the calculation:
The value obtained for the volume is 194 Å³ per cell.

---

Version y
Material: LaCd2Ni2
Method: DFT, PBE-GGA
State: relaxed

Cell and atoms, written as POSCAR:
```
LaCd2Ni2
1.0
-1.0352 -7.9160 0.5876
6.5844 -0.5254 4.5220
-1.6648 0.4011 2.4707
Cd Ni La
4 4 2
Cartesian
0.1599 -4.9886 0.9176 Cd
3.1873 -7.2764 3.3289 Cd
5.3893 -3.4528 4.1920 Cd
2.3619 -1.1650 1.7806 Cd
3.4438 -1.5591 4.4025 Ni
0.4405 -6.4812 3.1778 Ni
0.0012 -2.4469 2.2268 Ni
3.8832 -5.5934 5.3535 Ni
0.0000 0.0000 0.0000 La
2.7746 -4.2207 2.5548 La
```

Values from the calculation:
The value obtained for the volume is 193 Å³ per cell.

---

Which structure is most stable, and how do the rest compare? From most to least stable: version w, version x, version y.

---

Version w
Material: LaCd2Ni2
Method: DFT, PBE-GGA
State: relaxed

Cell and atoms, written as POSCAR:
```
LaCd2Ni2
1.0
-1.4645 3.3431 1.8104
-4.8635 -1.9398 -0.3523
2.3264 -3.3504 3.4847
Cd Ni La
2 2 1
Cartesian
-0.9703 -1.9944 2.8980 Cd
-3.0313 0.0473 2.0447 Cd
-3.4784 -2.6686 2.1141 Ni
-0.5232 0.7215 2.8286 Ni
0.0000 0.0000 0.0000 La
```

Values from the calculation:
The value obtained for the volume is 103 Å³ per cell.

---

Version x
Material: LaCd2Ni2
Method: DFT, PBE-GGA
State: relaxed

Cell and atoms, written as POSCAR:
```
LaCd2Ni2
1.0
-4.0342 2.4307 0.2621
-1.4609 -1.9912 -4.0190
-4.7214 -3.3230 0.5942
Cd Ni La
2 2 1
Cartesian
-6.9007 -2.0833 -1.9961 Cd
-3.3158 -0.8002 -1.1666 Cd
-4.4649 -2.5472 -2.6516 Ni
-5.7516 -0.3363 -0.5110 Ni
0.0000 0.0000 0.0000 La
```

Values from the calculation:
The value obtained for the volume is 106 Å³ per cell.

---

Which structure is most stable, and how do the rest compare? From most to least stable: version w, version x.

---

Version w
Material: LaCd2NiPb
Method: DFT, PBE-GGA
State: relaxed

Cell and atoms, written as POSCAR:
```
LaCd2NiPb
1.0
5.0724 0.0000 0.0000
0.0000 5.0724 0.0000
0.0000 0.0000 5.1001
Pb Ni Cd La
1 1 2 1
Cartesian
2.5362 2.5362 2.5500 Pb
0.0000 0.0000 0.0000 Ni
2.5362 0.0000 0.0000 Cd
0.0000 2.5362 0.0000 Cd
0.0000 0.0000 2.5500 La
```

Values from the calculation:
The value obtained for the volume is 131 Å³ per cell.

---

Version x
Material: LaCd2NiPb
Method: DFT, PBE-GGA
State: relaxed

Cell and atoms, written as POSCAR:
```
LaCd2NiPb
1.0
-2.9721 3.9947 0.3589
-0.5849 0.0102 -4.9576
-4.0417 -3.0494 0.4706
Cd Ni Pb La
2 1 1 1
Cartesian
-1.4861 1.9973 0.1794 Cd
-0.2924 0.0051 -2.4788 Cd
0.0000 0.0000 0.0000 Ni
-2.0209 -1.5247 0.2353 Pb
-3.7994 0.4777 -2.0641 La
```

Values from the calculation:
The value obtained for the volume is 127 Å³ per cell.

---

Which structure is most stable, and how do the rest compare? From most to least stable: version w, version x.

---

Version w
Material: La2CdNiSn
Method: DFT, PBE-GGA
State: relaxed

Cell and atoms, written as POSCAR:
```
La2CdNiSn
1.0
5.3307 0.0000 0.0000
0.0000 5.3307 0.0000
0.0000 0.0000 4.9688
La Cd Sn Ni
2 1 1 1
Cartesian
2.6653 0.0000 0.0000 La
0.0000 2.6653 0.0000 La
0.0000 0.0000 2.4844 Cd
2.6653 2.6653 2.4844 Sn
0.0000 0.0000 0.0000 Ni
```

Values from the calculation:
The value obtained for the volume is 141 Å³ per cell.

---

Version x
Material: La2CdNiSn
Method: DFT, PBE-GGA
State: relaxed

Cell and atoms, written as POSCAR:
```
La2CdNiSn
1.0
-4.0667 -2.3419 2.7646
3.6232 -2.6135 3.1158
-0.0117 3.7171 3.1315
Sn Cd La Ni
1 1 2 1
Cartesian
-0.0059 1.8585 1.5657 Sn
-0.2277 -0.6191 4.5059 Cd
1.8116 -1.3068 1.5579 La
-2.0334 -1.1709 1.3823 La
0.0000 0.0000 0.0000 Ni
```

Values from the calculation:
The value obtained for the volume is 144 Å³ per cell.

---

Which structure is most stable, and how do the rest compare? From most to least stable: version w, version x.

---

Version w
Material: LaTl2CdNi
Method: DFT, PBE-GGA
State: relaxed

Cell and atoms, written as POSCAR:
```
LaTl2CdNi
1.0
5.1750 0.0000 0.0000
0.0000 5.1750 0.0000
0.0000 0.0000 5.1052
Tl Cd Ni La
2 1 1 1
Cartesian
2.5875 0.0000 0.0000 Tl
0.0000 2.5875 0.0000 Tl
2.5875 2.5875 2.5526 Cd
0.0000 0.0000 0.0000 Ni
0.0000 0.0000 2.5526 La
```

Values from the calculation:
The value obtained for the volume is 137 Å³ per cell.

---

Version x
Material: LaTl2CdNi
Method: DFT, PBE-GGA
State: relaxed

Cell and atoms, written as POSCAR:
```
LaTl2CdNi
1.0
-0.7389 4.1336 2.8169
-4.6473 0.4860 -1.9322
-1.8379 -2.8520 3.7030
Ni Tl La Cd
1 2 1 1
Cartesian
0.0000 0.0000 0.0000 Ni
-2.3237 0.2430 -0.9661 Tl
-0.3694 2.0668 1.4084 Tl
-3.6120 0.8838 2.2939 La
-0.9189 -1.4260 1.8515 Cd
```

Values from the calculation:
The value obtained for the volume is 128 Å³ per cell.

---

Which structure is most stable, and how do the rest compare? From most to least stable: version w, version x.